Entry from the Alexandria database: crystalline MgPaSb2O8 at its relaxed geometry (PBE).

Output
Formation energy without anion corrections ... -25.15 eV/f.u.

Cell lengths 5.2355, 5.2355, 6.6021 Å; angles 113.36, 113.36, 90.00 degrees
Closest atoms and distances in Å follow each position.
Positions (direct):
Mg 0.0000 0.0000 0.0000  8 O 2.29-2.33
Pa 0.7500 0.2500 0.5000  8 O 2.20-2.45
Sb 0.5000 0.5000 0.0000  4 O 1.94
Sb 0.2500 0.7500 0.5000  4 O 2.07
O 0.7996 0.8324 0.1848  1 Sb 1.94
O 0.3852 0.3525 0.1848  1 Sb 1.94
O 0.6191 0.6403 0.6878  1 Sb 2.07, 1 Pa 2.20
O 0.0687 0.0475 0.6878  1 Sb 2.07, 1 Pa 2.20
O 0.9525 0.3809 0.3122  1 Sb 2.07, 1 Pa 2.20
O 0.3597 0.9313 0.3122  1 Sb 2.07, 1 Pa 2.20
O 0.1676 0.6148 0.8152  1 Sb 1.94
O 0.6475 0.2004 0.8152  1 Sb 1.94